An optimized crystal structure of SiAg2As. Source: Alexandria, functional PBE.

crystal system: orthorhombic
SG: Cmm2 (35)

a b c (Å): 2.8929 2.8929 8.5484
angles (deg): 90.00 90.00 91.73
With the nearest neighbours (Å) after each atom.
Fractional positions:
Si1 0.0000 0.0000 0.0000  4 Ag 2.79-2.84, 4 Si 2.89, 4 As 3.07-3.11
Ag1 0.0000 0.0000 0.4777  8 Ag 2.89-2.99, 4 As 2.94-2.99
Ag2 0.5000 0.5000 0.2261  4 Si 2.79-2.84, 8 Ag 2.89-2.99
As1 0.5000 0.5000 0.7290  4 As 2.89, 4 Ag 2.94-2.99, 4 Si 3.07-3.11

=====

An optimized crystal structure of SiAg2As. Source: Alexandria, functional PBE.

crystal system: cubic
SG: F-43m (216)

a b c (Å): 4.7147 4.7147 4.7147
angles (deg): 60.00 60.00 60.00
With the nearest neighbours (Å) after each atom.
Fractional positions:
Si1 0.0000 0.0000 0.0000  4 As 2.89, 4 Ag 2.89
Ag1 0.5000 0.5000 0.5000  4 As 2.89, 4 Ag 2.89
Ag2 0.7500 0.7500 0.7500  4 Si 2.89, 4 Ag 2.89
As1 0.2500 0.2500 0.2500  4 Si 2.89, 4 Ag 2.89

=====

| no. | E_form (uncorrected) (eV per atom) | distance to the lowest polymorph of the same formula (meV per atom) |
| --- | --- | --- |
| 1 | 0.303 | 129 |
| 2 | 0.391 | 216 |